P) The following is a GGA-PBE calculation of a relaxed ScReSe crystal, from Alexandria. Values from VASP.

Structure (Quantum ESPRESSO input):
```
&SYSTEM
  ibrav = 0, nat = 3, ntyp = 3
/
ATOMIC_SPECIES
Re 186.21 Re.upf
Sc 44.96 Sc.upf
Se 78.96 Se.upf
CELL_PARAMETERS angstrom
3.283 0.000 0.000
-1.642 2.843 0.000
0.000 0.000 5.918
ATOMIC_POSITIONS crystal
Re 0.000 0.000 0.985
Sc 0.333 0.667 0.328
Se 0.667 0.333 0.687
```

Calculated values
The calculation puts the magnetic moment at 0.0000 μB per atom. As for the space group: P3m1 (156).

---

Q) The following is a GGA-PBE calculation of a relaxed ScReSe crystal, from Alexandria. Values from VASP.

Structure (Quantum ESPRESSO input):
```
&SYSTEM
  ibrav = 0, nat = 3, ntyp = 3
/
ATOMIC_SPECIES
Re 186.21 Re.upf
Sc 44.96 Sc.upf
Se 78.96 Se.upf
CELL_PARAMETERS angstrom
6.608 0.006 -0.005
5.601 2.923 0.004
1.007 -0.946 2.759
ATOMIC_POSITIONS crystal
Re 0.994 0.994 0.006
Sc 0.670 0.670 0.330
Se 0.336 0.336 0.664
```

Calculated values
The calculation puts the magnetic moment at 0.0000 μB per atom. As for the space group: Fmm2 (42).

---

Here is how they stack up, most stable first: P), Q).